{
  "formula": "CaTeO3",
  "functional": "PBE-GGA",
  "state": "optimized geometry",
  "lattice_angstrom": [[8.0489, 0.0000, 0.0000], [0.0000, 6.3407, 0.0000], [-4.1472, 0.0000, 7.2271]],
  "species": ["Ca", "Ca", "Ca", "Ca", "Te", "Te", "Te", "Te", "O", "O", "O", "O", "O", "O", "O", "O", "O", "O", "O", "O"],
  "fractional_positions": [[0.0979, 0.2384, 0.4906], [0.0979, 0.2616, 0.9906], [0.9021, 0.7384, 0.0094], [0.9021, 0.7616, 0.5094], [0.2946, 0.6531, 0.3987], [0.2946, 0.8469, 0.8987], [0.7054, 0.1531, 0.1013], [0.7054, 0.3469, 0.6013], [0.0288, 0.6000, 0.3406], [0.0288, 0.9000, 0.8406], [0.2180, 0.5785, 0.1498], [0.2180, 0.9215, 0.6498], [0.3734, 0.1119, 0.0242], [0.3734, 0.3881, 0.5242], [0.6266, 0.6119, 0.4758], [0.6266, 0.8881, 0.9758], [0.7820, 0.0785, 0.3502], [0.7820, 0.4215, 0.8502], [0.9712, 0.1000, 0.1594], [0.9712, 0.4000, 0.6594]],
  "e_form_raw_mev_per_atom": -1929,
  "sg": "P2_1/c",
  "total_energy_ev_per_atom": -5.933,
  "crystal_system": "monoclinic"
}

{
  "formula": "ScPtF2",
  "functional": "PBE-GGA",
  "state": "optimized geometry",
  "lattice_angstrom": [[1.4415, 0.8323, 9.5406], [-1.4415, 0.8323, 9.5406], [0.0000, -1.6645, 9.5406]],
  "species": ["Sc", "Pt", "F", "F"],
  "fractional_positions": [[0.0000, 0.0000, 0.0000], [0.5000, 0.5000, 0.5000], [0.3784, 0.3784, 0.3784], [0.6216, 0.6216, 0.6216]],
  "e_form_raw_mev_per_atom": -1946,
  "sg": "R-3m",
  "relative_energy_mev_per_atom": 0.0,
  "total_energy_ev_per_atom": -5.974,
  "crystal_system": "trigonal"
}

{
  "formula": "LaCe2CrN5",
  "functional": "PBE-GGA",
  "state": "optimized geometry",
  "lattice_angstrom": [[-3.3441, 3.3441, 5.5767], [3.3441, -3.3441, 5.5767], [3.3441, 3.3441, -5.5767]],
  "species": ["La", "La", "Ce", "Ce", "Ce", "Ce", "Cr", "Cr", "N", "N", "N", "N", "N", "N", "N", "N", "N", "N"],
  "fractional_positions": [[0.2500, 0.2500, 0.0000], [0.7500, 0.7500, 0.0000], [0.1747, 0.6747, 0.8494], [0.3253, 0.1747, 0.5000], [0.6747, 0.8253, 0.5000], [0.8253, 0.3253, 0.1506], [0.2500, 0.7500, 0.5000], [0.7500, 0.2500, 0.5000], [0.0000, 0.0000, 0.0000], [0.0038, 0.7920, 0.5000], [0.2080, 0.7080, 0.2118], [0.2920, 0.5038, 0.5000], [0.4962, 0.9962, 0.7882], [0.5000, 0.5000, 0.0000], [0.5038, 0.0038, 0.2118], [0.7080, 0.4962, 0.5000], [0.7920, 0.2920, 0.7882], [0.9962, 0.2080, 0.5000]],
  "e_form_raw_mev_per_atom": -1274,
  "sg": "I4/mcm",
  "total_energy_ev_per_atom": -8.835,
  "crystal_system": "tetragonal"
}

{
  "formula": "MnZn",
  "functional": "PBE-GGA",
  "state": "optimized geometry",
  "lattice_angstrom": [[2.5930, 0.0000, 0.0000], [-1.2965, 2.2456, 0.0000], [0.0000, 0.0000, 8.5000]],
  "species": ["Mn", "Mn", "Zn", "Zn"],
  "fractional_positions": [[0.3333, 0.6667, 0.3938], [0.6667, 0.3333, 0.6062], [0.3333, 0.6667, 0.8625], [0.6667, 0.3333, 0.1375]],
  "formation_enthalpy_0k_ev_per_atom": 0.0744,
  "sg": "P-3m1",
  "total_energy_ev_per_atom": -5.147,
  "crystal_system": "trigonal"
}

{
  "formula": "Hg3Sb3Pb",
  "functional": "PBE-GGA",
  "state": "optimized geometry",
  "lattice_angstrom": [[7.9886, 0.0000, 0.0000], [0.0000, 7.9886, 0.0000], [0.0000, 0.0000, 7.9886]],
  "species": ["Hg", "Hg", "Hg", "Hg", "Hg", "Hg", "Sb", "Sb", "Sb", "Sb", "Sb", "Sb", "Pb", "Pb"],
  "fractional_positions": [[0.0000, 0.2500, 0.5000], [0.0000, 0.7500, 0.5000], [0.2500, 0.5000, 0.0000], [0.5000, 0.0000, 0.2500], [0.5000, 0.0000, 0.7500], [0.7500, 0.5000, 0.0000], [0.0000, 0.5000, 0.2500], [0.0000, 0.5000, 0.7500], [0.2500, 0.0000, 0.5000], [0.5000, 0.2500, 0.0000], [0.5000, 0.7500, 0.0000], [0.7500, 0.0000, 0.5000], [0.0000, 0.0000, 0.0000], [0.5000, 0.5000, 0.5000]],
  "e_form_raw_mev_per_atom": 415,
  "sg": "Pm-3n",
  "total_energy_ev_per_atom": -2.011,
  "crystal_system": "cubic"
}

{
  "formula": "ZrRhI2N",
  "functional": "PBE-GGA",
  "state": "optimized geometry",
  "lattice_angstrom": [[5.8772, 0.0000, 0.0000], [0.0000, 5.8772, 0.0000], [0.0000, 0.0000, 3.9695]],
  "species": ["Zr", "Rh", "I", "I", "N"],
  "fractional_positions": [[0.0000, 0.0000, 0.0000], [0.5000, 0.5000, 0.5000], [0.0000, 0.5000, 0.0000], [0.5000, 0.0000, 0.0000], [0.0000, 0.0000, 0.5000]],
  "e_form_raw_mev_per_atom": 400,
  "sg": "P4/mmm",
  "relative_energy_mev_per_atom": 0.0,
  "total_energy_ev_per_atom": -5.065,
  "crystal_system": "tetragonal"
}

{
  "formula": "SmAlAg2",
  "functional": "PBE-GGA",
  "state": "optimized geometry",
  "lattice_angstrom": [[3.2329, 0.0000, 0.0000], [0.0000, 3.2329, 0.0000], [0.0000, 0.0000, 7.7916]],
  "species": ["Sm", "Al", "Ag", "Ag"],
  "fractional_positions": [[0.0000, 0.0000, 0.0000], [0.0000, 0.0000, 0.5000], [0.5000, 0.5000, 0.2957], [0.5000, 0.5000, 0.7043]],
  "formation_enthalpy_0k_ev_per_atom": -0.1347,
  "sg": "P4/mmm",
  "relative_energy_mev_per_atom": 171.0,
  "total_energy_ev_per_atom": -3.676,
  "crystal_system": "tetragonal"
}

We obtain D(E_F) values of 0.00, 2.56, 7.37, 1.49, 5.63, 6.61, 2.66 states/eV/f.u. for the records listed above, in that order.